(1)
Density functional theory data (PBE-GGA) for a relaxed Dy4TeAsSe2 crystal. Values from VASP.

Summary:
**Space group**: No. 10
**ΔE_f (raw)**: -1.61 eV per atom

Quantum ESPRESSO input file:
```
&SYSTEM
  ibrav = 0, nat = 8, ntyp = 4
/
ATOMIC_SPECIES
Dy 162.50 Dy.upf
Te 127.60 Te.upf
As 74.92 As.upf
Se 78.96 Se.upf
ATOMIC_POSITIONS crystal
Dy 0.236 0.000 0.222
Dy 0.252 0.500 0.771
Dy 0.748 0.500 0.229
Dy 0.764 0.000 0.778
Te 0.500 0.500 0.500
As 0.500 0.000 0.000
Se 0.000 0.000 0.500
Se 0.000 0.500 0.000
CELL_PARAMETERS angstrom
7.147 0.000 0.000
0.000 4.142 0.000
-2.399 0.000 6.899
```


(2)
Density functional theory data (PBE-GGA) for a relaxed Zr2FeNi crystal. Values from VASP.

Summary:
**Formation energy**: -4.9 kJ/mol of atoms
**ΔE to the lowest computed polymorph**: 20.9 kJ/mol of atoms
**Space group**: No. 99

Quantum ESPRESSO input file:
```
&SYSTEM
  ibrav = 0, nat = 4, ntyp = 3
/
ATOMIC_SPECIES
Zr 91.22 Zr.upf
Fe 55.84 Fe.upf
Ni 58.69 Ni.upf
ATOMIC_POSITIONS crystal
Zr 0.000 0.000 0.000
Zr 0.500 0.500 0.330
Fe 0.000 0.000 0.566
Ni 0.500 0.500 0.769
CELL_PARAMETERS angstrom
3.260 0.000 0.000
0.000 3.260 0.000
0.000 0.000 6.405
```


(3)
Density functional theory data (PBE-GGA) for a relaxed CaHf2Pd9 crystal. Values from VASP.

Summary:
**Formation energy**: -75.1 kJ/mol of atoms
**Space group**: No. 123

Quantum ESPRESSO input file:
```
&SYSTEM
  ibrav = 0, nat = 12, ntyp = 3
/
ATOMIC_SPECIES
Ca 40.08 Ca.upf
Hf 178.49 Hf.upf
Pd 106.42 Pd.upf
ATOMIC_POSITIONS crystal
Ca 0.000 0.000 0.000
Hf 0.000 0.000 0.334
Hf 0.000 0.000 0.666
Pd 0.000 0.500 0.179
Pd 0.000 0.500 0.500
Pd 0.000 0.500 0.821
Pd 0.500 0.000 0.179
Pd 0.500 0.000 0.500
Pd 0.500 0.000 0.821
Pd 0.500 0.500 0.000
Pd 0.500 0.500 0.339
Pd 0.500 0.500 0.661
CELL_PARAMETERS angstrom
4.035 0.000 0.000
0.000 4.035 0.000
0.000 0.000 12.235
```


(4)
Density functional theory data (PBE-GGA) for a relaxed AcIrPb crystal. Values from VASP.

Summary:
**Formation energy**: -16.7 kJ/mol of atoms
**ΔE to the lowest computed polymorph**: 28.8 kJ/mol of atoms
**Space group**: No. 107

Quantum ESPRESSO input file:
```
&SYSTEM
  ibrav = 0, nat = 3, ntyp = 3
/
ATOMIC_SPECIES
Ac 227.00 Ac.upf
Ir 192.22 Ir.upf
Pb 207.20 Pb.upf
ATOMIC_POSITIONS crystal
Ac 0.000 0.000 0.000
Ir 0.650 0.650 0.000
Pb 0.277 0.277 0.000
CELL_PARAMETERS angstrom
-1.801 1.801 6.151
1.801 -1.801 6.151
1.801 1.801 -6.151
```